[1]
This record from Alexandria describes NpMn2Pt after structural relaxation. The functional is GGA-PBE.

Unit cell a=6.272 b=6.272 c=6.272 alpha=90.00 beta=90.00 gamma=90.00
Space group Fm-3m (No. 225)
One atom of each set of equivalent atoms:
Np1 0.000 0.000 0.000
Mn1 0.250 0.250 0.250
Pt1 0.000 0.000 0.500

Summary:
Total magnetic moment in μB/cell: 29.35
Formation energy from the elements in eV/f.u.: 0.708
Energy above the lowest structure with this stoichiometry in meV/atom: 385

***

[2]
This record from Alexandria describes NpMnPt after structural relaxation. The functional is GGA-PBE.

Unit cell a=8.875 b=2.811 c=9.297 alpha=90.00 beta=114.16 gamma=90.00
Space group C2/m (No. 12)
One atom of each set of equivalent atoms:
Np1 0.090 0.000 0.424
Mn1 0.098 0.500 0.908
Pt1 0.227 0.500 0.216

Summary:
Total magnetic moment in μB/cell: 5.08
Formation energy from the elements in eV/f.u.: 0.018

***

[3]
This record from Alexandria describes NpMn2Pt after structural relaxation. The functional is GGA-PBE.

Unit cell a=3.307 b=3.307 c=5.799 alpha=90.00 beta=90.00 gamma=90.00
Space group P4/mmm (No. 123)
One atom of each set of equivalent atoms:
Np1 0.000 0.000 0.000
Mn1 0.500 0.500 0.247
Pt1 0.000 0.000 0.500

Summary:
Total magnetic moment in μB/cell: 2.31
Formation energy from the elements in eV/f.u.: 0.081
Energy above the lowest structure with this stoichiometry in meV/atom: 228

***

What did the first record say?
This record from Alexandria describes NpMn2Pt after structural relaxation. The functional is GGA-PBE.

Unit cell a=6.272 b=6.272 c=6.272 alpha=90.00 beta=90.00 gamma=90.00
Space group Fm-3m (No. 225)
One atom of each set of equivalent atoms:
Np1 0.000 0.000 0.000
Mn1 0.250 0.250 0.250
Pt1 0.000 0.000 0.500

Summary:
Total magnetic moment in μB/cell: 29.35
Formation energy from the elements in eV/f.u.: 0.708
Energy above the lowest structure with this stoichiometry in meV/atom: 385